## NdDy2Zn3 (PBE-GGA)

Data for an optimized crystal structure of NdDy2Zn3.

Calculated values
- Calculated formation energy: -0.325 eV per atom

Unit cell a=3.6015 b=3.6015 c=10.8525 alpha=90.00 beta=90.00 gamma=90.00
With the nearest neighbours (Å) after each atom.
Space group P4/mmm (No. 123)
Inequivalent atoms, fractional coordinates:
1 Nd 0.0000 0.0000 0.0000  8 Zn 3.20
2 Dy 0.0000 0.0000 0.3371  8 Zn 3.07-3.10
3 Zn 0.5000 0.5000 0.1786  4 Dy 3.07, 4 Nd 3.20
4 Zn 0.5000 0.5000 0.5000  8 Dy 3.10

## Ho4BiSb2 (PBE-GGA)

Data for an optimized crystal structure of Ho4BiSb2.

Calculated values
- Energy relative to the elements, uncorrected: -696 meV/atom

Unit cell a=9.4763 b=13.6001 c=13.6261 alpha=90.00 beta=90.00 gamma=90.00
With the nearest neighbours (Å) after each atom.
Space group Fddd (No. 70, origin choice 2)
Inequivalent atoms, fractional coordinates:
1 Ho 0.0575 0.2821 0.4677  3 Sb 2.98-3.05, 1 Bi 3.09
2 Bi 0.1250 0.1250 0.6250  4 Ho 3.09
3 Sb 0.0000 0.0000 0.0000  6 Ho 2.98-3.05

## Rb3Hg2F7 (PBE-GGA)

Data for an optimized crystal structure of Rb3Hg2F7.

Calculated values
- Energy relative to the elements, uncorrected: -2106 meV/atom

Unit cell a=4.6591 b=4.6591 c=23.0154 alpha=90.00 beta=90.00 gamma=90.00
With the nearest neighbours (Å) after each atom.
Space group I4/mmm (No. 139)
Inequivalent atoms, fractional coordinates:
1 Rb 0.0000 0.0000 0.0000  12 F 3.23-3.29
2 Rb 0.0000 0.0000 0.1826  1 F 2.72
3 Hg 0.0000 0.0000 0.3997  6 F 2.27-2.33
4 F 0.0000 0.0000 0.3010  1 Hg 2.27
5 F 0.0000 0.0000 0.5000  2 Hg 2.31
6 F 0.0000 0.5000 0.0971  2 Hg 2.33

## Rb2LiUF6 (PBE-GGA)

Data for an optimized crystal structure of Rb2LiUF6.

Calculated values
- Energy relative to the elements, uncorrected: -3003 meV/atom

Unit cell a=10.8858 b=6.2647 c=6.3210 alpha=90.00 beta=125.33 gamma=90.00
With the nearest neighbours (Å) after each atom.
Space group C2/m (No. 12)
Inequivalent atoms, fractional coordinates:
1 Rb 0.2486 0.0000 0.2474  11 F 2.96-3.28
2 Li 0.0000 0.5000 0.0000  6 F 2.15
3 U 0.0000 0.0000 0.5000  6 F 2.31
4 F 0.0171 0.2584 0.7774  1 Li 2.15, 1 U 2.31
5 F 0.2412 0.5000 0.2745  1 Li 2.15, 1 U 2.31

## InCu2Tc (PBE-GGA)

Data for an optimized crystal structure of InCu2Tc.

Calculated values
- Calculated formation energy: 0.346 eV per atom

Unit cell a=2.8539 b=4.6657 c=9.2592 alpha=90.00 beta=90.00 gamma=90.00
With the nearest neighbours (Å) after each atom.
Space group Immm (No. 71)
Inequivalent atoms, fractional coordinates:
1 In 0.0000 0.0000 0.0000  4 Tc 2.73, 4 Cu 2.78, 2 In 2.85
2 Cu 0.0000 0.5000 0.2426  2 Tc 2.66, 6 Cu 2.74-2.85, 2 In 2.78
3 Tc 0.0000 0.0000 0.5000  4 Cu 2.66, 4 In 2.73, 2 Tc 2.85

## LiCaSeBrF (PBE-GGA)

Data for an optimized crystal structure of LiCaSeBrF.

Calculated values
- Energy relative to the elements, uncorrected: -1882 meV/atom
- Excess energy over the best structure of this formula in the dataset: 73.2 meV per atom

Unit cell a=4.4148 b=4.0213 c=6.2743 alpha=90.00 beta=104.73 gamma=90.00
With the nearest neighbours (Å) after each atom.
Space group Pm (No. 6)
Inequivalent atoms, fractional coordinates:
1 Li 0.0000 0.0000 0.0000  2 F 2.04
2 Ca 0.8936 0.5000 0.5874  1 F 2.16
3 Se 0.4304 0.0000 0.6717  2 Li 2.82-3.14, 4 Ca 3.01-3.05, 1 Br 3.04
4 Br 0.5736 0.0000 0.2229  2 Li 2.56-2.61
5 F 0.0071 0.5000 0.9428  2 Li 2.04, 1 Ca 2.16

## SrSF (PBE-GGA)

Data for an optimized crystal structure of SrSF.

Calculated values
- Energy relative to the elements, uncorrected: -2670 meV/atom

Unit cell a=13.3822 b=6.0760 c=6.0694 alpha=90.00 beta=90.00 gamma=90.00
With the nearest neighbours (Å) after each atom.
Space group Cmce (No. 64)
Inequivalent atoms, fractional coordinates:
1 Sr 0.1478 0.0000 0.0000  4 F 2.52-2.57
2 S 0.0000 0.1233 0.3766  1 S 2.12
3 F 0.2500 0.2427 0.7500  4 Sr 2.52-2.57

## Dy3Cd4Rh4 (PBE-GGA)

Data for an optimized crystal structure of Dy3Cd4Rh4.

Calculated values
- Calculated formation energy: -0.458 eV per atom

Unit cell a=3.6692 b=8.0099 c=15.7111 alpha=90.00 beta=90.00 gamma=90.00
With the nearest neighbours (Å) after each atom.
Space group Immm (No. 71)
Inequivalent atoms, fractional coordinates:
1 Dy 0.0000 0.0000 0.0000  4 Rh 2.99
2 Dy 0.0000 0.5000 0.1065  6 Rh 2.79-2.98
3 Cd 0.0000 0.3160 0.3326  4 Rh 2.76-2.78, 1 Cd 2.95
4 Rh 0.0000 0.0000 0.2597  6 Cd 2.76-2.78, 2 Dy 2.79
5 Rh 0.0000 0.2058 0.5000  2 Cd 2.77, 6 Dy 2.98-2.99

## KAlCrH6 (PBE-GGA)

Data for an optimized crystal structure of KAlCrH6.

Unit cell a=4.5077 b=4.5077 c=5.4588 alpha=90.00 beta=90.00 gamma=120.00
With the nearest neighbours (Å) after each atom.
Space group P-6m2 (No. 187)
Inequivalent atoms, fractional coordinates:
1 K 0.0000 0.0000 0.0000  12 H 2.74
2 Al 0.6667 0.3333 0.5000  6 H 1.82
3 Cr 0.3333 0.6667 0.5000  6 H 1.68
4 H 0.0244 0.5122 0.2850  1 Cr 1.68, 1 Al 1.82

## Zr8Al4Fe (PBE-GGA)

Data for an optimized crystal structure of Zr8Al4Fe.

Calculated values
- Calculated formation energy: 0.003 eV per atom

Unit cell a=9.9360 b=9.9360 c=5.6169 alpha=90.00 beta=90.00 gamma=90.00
With the nearest neighbours (Å) after each atom.
Space group I4/mmm (No. 139)
Inequivalent atoms, fractional coordinates:
1 Zr 0.0000 0.2143 0.0000  4 Al 2.88, 6 Zr 3.01-3.22
2 Zr 0.0000 0.3472 0.5000  4 Al 3.01, 5 Zr 3.04-3.22
3 Al 0.2500 0.2500 0.2500  2 Al 2.81, 8 Zr 2.88-3.01
4 Fe 0.0000 0.0000 0.5000  12 Zr 3.45-3.52, 8 Al 3.78

## La7PmPr2 (PBE-GGA)

Data for an optimized crystal structure of La7PmPr2.

Calculated values
- Excess energy over the best structure of this formula in the dataset: 528.8 meV per atom
- Calculated formation energy: 0.541 eV per atom

Unit cell a=9.0497 b=16.3333 c=5.6587 alpha=90.00 beta=90.00 gamma=90.00
With the nearest neighbours (Å) after each atom.
Space group Cmmm (No. 65)
Inequivalent atoms, fractional coordinates:
1 La 0.0000 0.0000 0.0000  2 Pr 3.26, 4 La 3.38
2 La 0.0000 0.2585 0.5000  2 Pr 2.99
3 La 0.1873 0.3863 0.0000  2 Pr 3.16-3.49, 2 La 3.38-3.39
4 Pm 0.0000 0.5000 0.5000  10 La 3.78-3.95
5 Pr 0.0000 0.1998 0.0000  5 La 2.99-3.26

## Tl2Ir (PBE-GGA)

Data for an optimized crystal structure of Tl2Ir.

Calculated values
- Calculated formation energy: 1.390 eV per atom

Unit cell a=8.4166 b=8.4166 c=8.4166 alpha=90.00 beta=90.00 gamma=90.00
With the nearest neighbours (Å) after each atom.
Space group Fd-3m (No. 227, origin choice 2)
Inequivalent atoms, fractional coordinates:
1 Tl 0.0000 0.0000 0.0000  6 Tl 2.98
2 Ir 0.1250 0.1250 0.6250  12 Tl 3.49, 4 Ir 3.64

Number 1: uncorrected energy -3.291 eV per atom, magnetization 0.00 μB per formula unit. Number 2: uncorrected energy -5.044 eV per atom, magnetization 0.00 μB per formula unit. Number 3: uncorrected energy -3.490 eV per atom, magnetization 0.00 μB per formula unit. Number 4: uncorrected energy -5.640 eV per atom, magnetization 2.98 μB per formula unit. Number 5: uncorrected energy -4.978 eV per atom, magnetization 0.00 μB per formula unit. Number 6: uncorrected energy -4.071 eV per atom, magnetization 0.03 μB per formula unit. Number 7: uncorrected energy -5.231 eV per atom, magnetization 0.00 μB per formula unit. Number 8: uncorrected energy -4.719 eV per atom, magnetization 0.00 μB per formula unit. Number 9: uncorrected energy -3.965 eV per atom, magnetization 2.00 μB per formula unit. Number 10: uncorrected energy -7.060 eV per atom, magnetization 3.29 μB per formula unit. Number 11: uncorrected energy -4.339 eV per atom, magnetization 0.22 μB per formula unit. Number 12: uncorrected energy -3.141 eV per atom, magnetization 1.05 μB per formula unit.